Entry 1:
DFT (PBE) results for a geometry-optimized LiPIr2I structure.

density of states at the Fermi level: 5.166 states/eV/cell
VASP energy: -3.80 eV/atom
spin magnetization: 0.00 μB per cell

Cell: 4.9440 4.9440 4.5905 Å, 90.00 90.00 90.00°
Closest atoms and distances in Å follow each position.
Atoms (fractional coordinates):
Li 0.0000 0.0000 0.0000  2 I 2.30
P 0.5000 0.5000 0.0000  8 Ir 3.37, 4 Li 3.50
Ir 0.0000 0.5000 0.5000  2 I 2.47
Ir 0.5000 0.0000 0.5000  2 I 2.47
I 0.0000 0.0000 0.5000  2 Li 2.30, 4 Ir 2.47

***

Entry 2:
DFT (PBE) results for a geometry-optimized Rb2LiIrI6 structure.

density of states at the Fermi level: 0.000 states/eV/cell
VASP energy: -2.98 eV/atom
spin magnetization: 0.00 μB per cell

Cell: 8.1228 8.1228 8.1228 Å, 60.00 60.00 60.00°
Closest atoms and distances in Å follow each position.
Atoms (fractional coordinates):
Rb 0.2500 0.2500 0.2500  12 I 4.06
Rb 0.7500 0.7500 0.7500  12 I 4.06
Li 0.0000 0.0000 0.0000  6 I 3.03
Ir 0.5000 0.5000 0.5000  6 I 2.71
I 0.2639 0.2639 0.7361  1 Ir 2.71, 1 Li 3.03
I 0.2639 0.7361 0.2639  1 Ir 2.71, 1 Li 3.03
I 0.2639 0.7361 0.7361  1 Ir 2.71, 1 Li 3.03
I 0.7361 0.2639 0.2639  1 Ir 2.71, 1 Li 3.03
I 0.7361 0.2639 0.7361  1 Ir 2.71, 1 Li 3.03
I 0.7361 0.7361 0.2639  1 Ir 2.71, 1 Li 3.03

***

Entry 3:
DFT (PBE) results for a geometry-optimized LiSbIrI2 structure.

density of states at the Fermi level: 1.550 states/eV/cell
VASP energy: -3.50 eV/atom
spin magnetization: 0.00 μB per cell

Cell: 5.8346 5.8346 4.9260 Å, 90.00 90.00 90.00°
Closest atoms and distances in Å follow each position.
Atoms (fractional coordinates):
Li 0.0000 0.0000 0.0000  8 I 3.82, 4 Sb 4.13
Sb 0.5000 0.5000 0.0000  2 Ir 2.46
Ir 0.5000 0.5000 0.5000  2 Sb 2.46
I 0.0000 0.5000 0.5000  2 Ir 2.92
I 0.5000 0.0000 0.5000  2 Ir 2.92

***

Entry 4:
DFT (PBE) results for a geometry-optimized SrLi2IrI structure.

density of states at the Fermi level: 0.588 states/eV/cell
VASP energy: -3.44 eV/atom
spin magnetization: 0.00 μB per cell

Cell: 4.9312 4.9312 5.7481 Å, 90.00 90.00 90.00°
Closest atoms and distances in Å follow each position.
Atoms (fractional coordinates):
Sr 0.0000 0.0000 0.0000  2 Ir 2.87
Li 0.0000 0.5000 0.5000  2 Ir 2.47
Li 0.5000 0.0000 0.5000  2 Ir 2.47
Ir 0.0000 0.0000 0.5000  4 Li 2.47
I 0.5000 0.5000 0.0000  4 Sr 3.49, 8 Li 3.79

***

Entry 5:
DFT (PBE) results for a geometry-optimized LiTe2IrI structure.

density of states at the Fermi level: 5.694 states/eV/cell
VASP energy: -3.56 eV/atom
spin magnetization: 0.00 μB per cell

Cell: 5.2505 5.2505 5.7939 Å, 90.00 90.00 90.00°
Closest atoms and distances in Å follow each position.
Atoms (fractional coordinates):
Li 0.0000 0.0000 0.0000  4 I 3.71, 8 Te 3.91
Te 0.0000 0.5000 0.5000  2 Ir 2.63
Te 0.5000 0.0000 0.5000  2 Ir 2.63
Ir 0.5000 0.5000 0.5000  4 Te 2.63, 2 I 2.90
I 0.5000 0.5000 0.0000  2 Ir 2.90

***

Entry 6:
DFT (PBE) results for a geometry-optimized MgIrI structure.

density of states at the Fermi level: 2.024 states/eV/cell
VASP energy: -4.26 eV/atom
spin magnetization: 0.33 μB per cell

Cell: 10.2055 10.2055 3.8236 Å, 90.00 90.00 156.25°
Closest atoms and distances in Å follow each position.
Atoms (fractional coordinates):
Mg 0.0537 0.9463 0.5000  6 Ir 2.85-2.86, 2 Mg 2.87, 2 I 2.88
Mg 0.9463 0.0537 0.0000  6 Ir 2.85-2.86, 2 Mg 2.87, 2 I 2.88
Ir 0.4563 0.5437 0.4994  2 Ir 2.59, 6 Mg 2.85-2.86, 2 I 2.88-2.89
Ir 0.5437 0.4563 0.9994  2 Ir 2.59, 6 Mg 2.85-2.86, 2 I 2.88-2.89
I 0.3480 0.6520 0.9984  2 Mg 2.88, 2 Ir 2.88-2.89
I 0.6520 0.3480 0.4984  2 Mg 2.88, 2 Ir 2.88-2.89

***

Entry 7:
DFT (PBE) results for a geometry-optimized MgIrI structure.

density of states at the Fermi level: 0.866 states/eV/cell
VASP energy: -3.79 eV/atom
spin magnetization: 0.00 μB per cell

Cell: 4.5175 4.5175 4.5175 Å, 60.00 60.00 60.00°
Closest atoms and distances in Å follow each position.
Atoms (fractional coordinates):
Mg 0.0000 0.0000 0.0000  4 Ir 2.77
Ir 0.2500 0.2500 0.2500  4 Mg 2.77, 4 I 2.77
I 0.5000 0.5000 0.5000  4 Ir 2.77

***

Entry 8:
DFT (PBE) results for a geometry-optimized Mg2IrI structure.

density of states at the Fermi level: 0.171 states/eV/cell
VASP energy: -3.16 eV/atom
spin magnetization: 0.00 μB per cell

Cell: 4.8579 4.8579 4.8579 Å, 60.00 60.00 60.00°
Closest atoms and distances in Å follow each position.
Atoms (fractional coordinates):
Mg 0.2500 0.2500 0.2500  4 I 2.97, 4 Ir 2.97
Mg 0.7500 0.7500 0.7500  4 Ir 2.97, 4 I 2.97
Ir 0.0000 0.0000 0.0000  8 Mg 2.97
I 0.5000 0.5000 0.5000  8 Mg 2.97

***

Entry 9:
DFT (PBE) results for a geometry-optimized Mg3IrI structure.

density of states at the Fermi level: 2.950 states/eV/cell
VASP energy: -3.11 eV/atom
spin magnetization: 0.00 μB per cell

Cell: 5.0959 5.0959 5.0959 Å, 90.00 90.00 90.00°
Closest atoms and distances in Å follow each position.
Atoms (fractional coordinates):
Mg 0.0000 0.0000 0.5000  2 Ir 2.55
Mg 0.0000 0.5000 0.0000  2 Ir 2.55
Mg 0.5000 0.0000 0.0000  2 Ir 2.55
Ir 0.0000 0.0000 0.0000  6 Mg 2.55
I 0.5000 0.5000 0.5000  12 Mg 3.60

***

Entry 10:
DFT (PBE) results for a geometry-optimized MgIrI structure.

density of states at the Fermi level: 2.780 states/eV/cell
VASP energy: -3.53 eV/atom
spin magnetization: 0.00 μB per cell

Cell: 5.2417 5.2417 5.3570 Å, 90.00 90.00 90.00°
Closest atoms and distances in Å follow each position.
Atoms (fractional coordinates):
Mg 0.2500 0.2500 0.1188  2 Ir 2.60-2.76
Mg 0.7500 0.7500 0.8812  2 Ir 2.60-2.76
Ir 0.2500 0.2500 0.6343  2 Mg 2.60-2.76, 4 I 2.72
Ir 0.7500 0.7500 0.3657  2 Mg 2.60-2.76, 4 I 2.72
I 0.2500 0.7500 0.5000  4 Ir 2.72
I 0.7500 0.2500 0.5000  4 Ir 2.72

***

Entry 11:
DFT (PBE) results for a geometry-optimized MgIrI structure.

density of states at the Fermi level: 2.565 states/eV/cell
VASP energy: -4.34 eV/atom
spin magnetization: 0.00 μB per cell

Cell: 4.1161 4.1163 11.7861 Å, 90.67 99.86 117.67°
Closest atoms and distances in Å follow each position.
Atoms (fractional coordinates):
Mg 0.0000 0.0000 0.0000  3 I 2.96-2.98, 6 Ir 2.98-3.13
Mg 0.2129 0.1099 0.3327  3 I 2.96-2.98, 6 Ir 2.98-3.13
Ir 0.4304 0.7335 0.1663  3 Ir 2.38-2.47
Ir 0.7805 0.3834 0.1663  3 Ir 2.38-2.47
I 0.2422 0.6093 0.8489  3 Mg 2.96-2.98
I 0.6490 0.8197 0.4837  3 Mg 2.96-2.98

***

Entry 12:
DFT (PBE) results for a geometry-optimized MgIrI structure.

density of states at the Fermi level: 4.456 states/eV/cell
VASP energy: -3.74 eV/atom
spin magnetization: 0.00 μB per cell

Cell: 5.7052 8.7664 5.2079 Å, 90.00 90.00 90.00°
Closest atoms and distances in Å follow each position.
Atoms (fractional coordinates):
Mg 0.1236 0.2500 0.1567  3 Ir 2.63-2.84, 2 I 2.91
Mg 0.3764 0.7500 0.6567  3 Ir 2.63-2.84, 2 I 2.91
Mg 0.6236 0.2500 0.3433  3 Ir 2.63-2.84, 2 I 2.91
Mg 0.8764 0.7500 0.8433  3 Ir 2.63-2.84, 2 I 2.91
Ir 0.2293 0.7500 0.1780  3 Mg 2.63-2.84, 2 I 2.84
Ir 0.2707 0.2500 0.6780  3 Mg 2.63-2.84, 2 I 2.84
Ir 0.7293 0.7500 0.3220  3 Mg 2.63-2.84, 2 I 2.84
Ir 0.7707 0.2500 0.8220  3 Mg 2.63-2.84, 2 I 2.84
I 0.0000 0.0000 0.5000  4 Ir 2.84-3.05, 4 Mg 2.91-3.17
I 0.0000 0.5000 0.5000  4 Ir 2.84-3.05, 4 Mg 2.91-3.17
I 0.5000 0.0000 0.0000  4 Ir 2.84-3.05, 4 Mg 2.91-3.17
I 0.5000 0.5000 0.0000  4 Ir 2.84-3.05, 4 Mg 2.91-3.17

***

Entry 13:
DFT (PBE) results for a geometry-optimized MgIrI structure.

density of states at the Fermi level: 2.694 states/eV/cell
VASP energy: -3.76 eV/atom
spin magnetization: 0.00 μB per cell

Cell: 7.8989 3.9812 8.5134 Å, 90.00 90.00 90.00°
Closest atoms and distances in Å follow each position.
Atoms (fractional coordinates):
Mg 0.0005 0.2500 0.1330  3 Ir 2.72-2.74, 2 Mg 3.02
Mg 0.4995 0.7500 0.6330  3 Ir 2.72-2.74, 2 Mg 3.02
Mg 0.5005 0.2500 0.3670  3 Ir 2.72-2.74, 2 Mg 3.02
Mg 0.9995 0.7500 0.8670  3 Ir 2.72-2.74, 2 Mg 3.02
Ir 0.2348 0.2500 0.8990  3 I 2.59-2.75, 3 Mg 2.72-2.74
Ir 0.2652 0.7500 0.3990  3 I 2.59-2.75, 3 Mg 2.72-2.74
Ir 0.7348 0.2500 0.6010  3 I 2.59-2.75, 3 Mg 2.72-2.74
Ir 0.7652 0.7500 0.1010  3 I 2.59-2.75, 3 Mg 2.72-2.74
I 0.1648 0.2500 0.6020  3 Ir 2.59-2.75
I 0.3352 0.7500 0.1020  3 Ir 2.59-2.75
I 0.6648 0.2500 0.8980  3 Ir 2.59-2.75
I 0.8352 0.7500 0.3980  3 Ir 2.59-2.75

***

Entry 14:
DFT (PBE) results for a geometry-optimized MgIrI structure.

density of states at the Fermi level: 1.459 states/eV/cell
VASP energy: -2.74 eV/atom
spin magnetization: 0.00 μB per cell

Cell: 4.9090 4.9090 9.7748 Å, 90.00 90.00 120.00°
Closest atoms and distances in Å follow each position.
Atoms (fractional coordinates):
Mg 0.3333 0.6667 0.2500  3 I 2.83
Mg 0.6667 0.3333 0.7500  3 I 2.83
Ir 0.0000 0.0000 0.0000  2 I 2.44
Ir 0.0000 0.0000 0.5000  2 I 2.44
I 0.0000 0.0000 0.2500  2 Ir 2.44
I 0.0000 0.0000 0.7500  2 Ir 2.44

***

Entry 15:
DFT (PBE) results for a geometry-optimized Mg2IrI structure.

density of states at the Fermi level: 0.000 states/eV/cell
VASP energy: -3.18 eV/atom
spin magnetization: 0.00 μB per cell

Cell: 7.6350 7.6350 7.6350 Å, 129.98 129.98 73.44°
Closest atoms and distances in Å follow each position.
Atoms (fractional coordinates):
Mg 0.0640 0.6250 0.9390  2 Ir 2.54
Mg 0.3750 0.3140 0.4390  2 Ir 2.54
Mg 0.6860 0.1250 0.0610  2 Ir 2.54
Mg 0.8750 0.9360 0.5610  2 Ir 2.54
Ir 0.0000 0.0000 0.0000  4 Mg 2.54
Ir 0.7500 0.2500 0.5000  4 Mg 2.54
I 0.2500 0.7500 0.5000  4 Mg 3.00
I 0.5000 0.5000 0.0000  4 Mg 3.00

***

Entry 16:
DFT (PBE) results for a geometry-optimized MgIrI structure.

density of states at the Fermi level: 2.523 states/eV/cell
VASP energy: -4.38 eV/atom
spin magnetization: 0.00 μB per cell

Cell: 4.1150 4.1360 11.6769 Å, 90.28 99.93 117.88°
Closest atoms and distances in Å follow each position.
Atoms (fractional coordinates):
Mg 0.1031 0.0561 0.1659  3 I 2.95-2.97, 6 Ir 2.95-3.12
Mg 0.8969 0.9439 0.8341  3 I 2.95-2.97, 6 Ir 2.95-3.12
Ir 0.3263 0.6760 0.9986  3 Ir 2.37-2.47
Ir 0.6737 0.3240 0.0014  3 Ir 2.37-2.47
I 0.4640 0.2371 0.6832  3 Mg 2.95-2.97
I 0.5360 0.7629 0.3168  3 Mg 2.95-2.97

***

Entry 17:
DFT (PBE) results for a geometry-optimized MgIrI structure.

density of states at the Fermi level: 2.064 states/eV/cell
VASP energy: -3.54 eV/atom
spin magnetization: 0.00 μB per cell

Cell: 4.4754 4.4754 7.6095 Å, 90.00 90.00 120.00°
Closest atoms and distances in Å follow each position.
Atoms (fractional coordinates):
Mg 0.0000 0.0000 0.0000  6 Ir 3.21, 6 I 3.21
Mg 0.0000 0.0000 0.5000  6 Ir 3.21, 6 I 3.21
Ir 0.3333 0.6667 0.2500  3 I 2.58
Ir 0.6667 0.3333 0.7500  3 I 2.58
I 0.3333 0.6667 0.7500  3 Ir 2.58
I 0.6667 0.3333 0.2500  3 Ir 2.58

***

Entry 18:
DFT (PBE) results for a geometry-optimized Mg2IrI2 structure.

density of states at the Fermi level: 3.378 states/eV/cell
VASP energy: -2.74 eV/atom
spin magnetization: 2.09 μB per cell

Cell: 7.5507 7.5507 5.0598 Å, 90.00 90.00 90.00°
Closest atoms and distances in Å follow each position.
Atoms (fractional coordinates):
Mg 0.2083 0.2917 0.0000  2 Ir 2.71, 2 I 2.84
Mg 0.2917 0.7917 0.0000  2 Ir 2.71, 2 I 2.84
Mg 0.7083 0.2083 0.0000  2 Ir 2.71, 2 I 2.84
Mg 0.7917 0.7083 0.0000  2 Ir 2.71, 2 I 2.84
Ir 0.0000 0.0000 0.0000  4 Mg 2.71
Ir 0.5000 0.5000 0.0000  4 Mg 2.71
I 0.1708 0.6708 0.5000  2 Mg 2.84
I 0.3292 0.1708 0.5000  2 Mg 2.84
I 0.6708 0.8292 0.5000  2 Mg 2.84
I 0.8292 0.3292 0.5000  2 Mg 2.84

***

Entry 19:
DFT (PBE) results for a geometry-optimized MgIrI structure.

density of states at the Fermi level: 3.021 states/eV/cell
VASP energy: -3.76 eV/atom
spin magnetization: 0.00 μB per cell

Cell: 10.0603 4.3299 4.3299 Å, 53.94 90.00 90.00°
Closest atoms and distances in Å follow each position.
Atoms (fractional coordinates):
Mg 0.0000 0.0000 0.0000  6 Ir 2.66-2.75
Mg 0.5000 0.0743 0.0743  6 I 3.02-3.22
Ir 0.1210 0.3069 0.3069  1 Ir 2.43, 1 Mg 2.66, 2 I 2.68
Ir 0.8790 0.3069 0.3069  1 Ir 2.43, 1 Mg 2.66, 2 I 2.68
I 0.3017 0.7811 0.7811  2 Ir 2.68
I 0.6983 0.7811 0.7811  2 Ir 2.68

***

Entry 20:
DFT (PBE) results for a geometry-optimized MgIr3I structure.

density of states at the Fermi level: 7.858 states/eV/cell
VASP energy: -4.33 eV/atom
spin magnetization: 0.00 μB per cell

Cell: 4.8616 4.8616 4.8616 Å, 90.00 90.00 90.00°
Closest atoms and distances in Å follow each position.
Atoms (fractional coordinates):
Mg 0.0000 0.0000 0.0000  12 Ir 3.44
Ir 0.0000 0.5000 0.5000  2 I 2.43
Ir 0.5000 0.0000 0.5000  2 I 2.43
Ir 0.5000 0.5000 0.0000  2 I 2.43
I 0.5000 0.5000 0.5000  6 Ir 2.43

***

| no. | uncorrected formation energy (meV/atom) |
| --- | --- |
| 1 | 1516 |
| 2 | -783 |
| 3 | 95 |
| 4 | -252 |
| 5 | 160 |
| 6 | -258 |
| 7 | 211 |
| 8 | 244 |
| 9 | -73 |
| 10 | 467 |
| 11 | -338 |
| 12 | 265 |
| 13 | 245 |
| 14 | 1266 |
| 15 | 220 |
| 16 | -378 |
| 17 | 458 |
| 18 | 292 |
| 19 | 242 |
| 20 | 1611 |